DFT (PBE) results for a geometry-optimized Rb3TbI8 structure.

abc: 8.238 8.238 17.473
angles: 90.00 90.00 90.00
Space group I4/mmm (No. 139)
Inequivalent atoms, fractional coordinates:
Rb 0.000 0.000 0.000 x2
Rb 0.000 0.500 0.250 x4
Tb 0.000 0.000 0.500 x2
I 0.224 0.224 0.389 x16

Results
Uncorrected formation energy, kcal/mol of atoms: -24.3

DFT (PBE) results for a geometry-optimized RbTbI2 structure.

abc: 4.2123 4.2123 35.3747
angles: 90.00 90.00 120.00
Space group R-3m (No. 166, hexagonal axes)
Inequivalent atoms, fractional coordinates:
Rb 0.0000 0.0000 0.0000 x3
Tb 0.0000 0.0000 0.5000 x3
I 0.0000 0.0000 0.1109 x6

Results
Uncorrected formation energy, kcal/mol of atoms: -20.1

DFT (PBE) results for a geometry-optimized Rb2TbI5 structure.

abc: 9.069 9.069 10.703
angles: 90.00 90.00 90.00
Space group I4mm (No. 107)
Inequivalent atoms, fractional coordinates:
Rb 0.000 0.500 0.000 x4
Tb 0.000 0.000 0.237 x2
I 0.000 0.000 0.972 x2
I 0.231 0.231 0.286 x8

Results
Energy above the lowest structure with this stoichiometry, eV/atom: 0.0564
Uncorrected formation energy, kcal/mol of atoms: -32.1